1.
# Ce2CuGe6

A relaxed structure of Ce2CuGe6 (PBE, the Alexandria database).

Computed properties:
Total magnetic moment = 1.069 μB/f.u.
Energy = -47.49 eV per formula unit
V = 20.61 Å³ per atom
Energy relative to the elements = -424 meV per atom

Cell lengths 4.182, 4.107, 21.597 Å; angles 90.00, 90.00, 90.00 degrees
Space group Amm2 (No. 38)
Inequivalent atoms, fractional coordinates:
Ce1 0.000 0.000 0.000
Ce2 0.000 0.000 0.334
Cu1 0.500 0.000 0.556
Ge1 0.000 0.000 0.614
Ge2 0.000 0.000 0.730
Ge3 0.500 0.000 0.115
Ge4 0.500 0.000 0.231
Ge5 0.500 0.000 0.446
Ge6 0.500 0.000 0.875

2.
# CeCuGeH

A relaxed structure of CeCuGeH (PBE, the Alexandria database).

Computed properties:
Total magnetic moment = 0.121 μB/f.u.
Energy = -20.31 eV per formula unit
V = 15.62 Å³ per atom
Energy above the lowest structure with this stoichiometry = 11.6 meV per atom

Cell lengths 4.1626, 4.1626, 8.3286 Å; angles 90.00, 90.00, 120.00 degrees
Space group P-3m1 (No. 164)
Inequivalent atoms, fractional coordinates:
Ce1 0.0000 0.0000 0.0000
Ce2 0.0000 0.0000 0.5000
Cu1 0.3333 0.6667 0.2378
Ge1 0.3333 0.6667 0.7184
H1 0.3333 0.6667 0.0352

3.
# CeCuGeH

A relaxed structure of CeCuGeH (PBE, the Alexandria database).

Computed properties:
Total magnetic moment = 0.156 μB/f.u.
Energy = -20.36 eV per formula unit
V = 15.42 Å³ per atom
Energy above the lowest structure with this stoichiometry = 0.0 meV per atom

Cell lengths 4.1805, 4.1805, 4.0760 Å; angles 90.00, 90.00, 120.00 degrees
Space group P3m1 (No. 156)
Inequivalent atoms, fractional coordinates:
Ce1 0.0000 0.0000 0.0000
Cu1 0.6667 0.3333 0.5304
Ge1 0.3333 0.6667 0.4741
H1 0.6667 0.3333 0.9607